4
Lattice="2.9921 0.0000 0.0000 0.0000 2.9921 0.0000 0.0000 0.0000 5.4229" Properties=species:S:1:pos:R:3 comment="LiZn2Co, single point on PBEsol structure, DFT meta-GGA SCAN" crystal_system=tetragonal m_tot_mub_per_atom=0.00 dos_at_fermi_per_ev_cell=1.331 dft_energy_ev_per_cell=-46.2 pbc="T T T"
Li 0.0000 0.0000 0.0000
Zn 0.0000 0.0000 2.9377
Zn 1.4961 1.4961 1.3712
Co 1.4961 1.4961 4.1491